Compound: TbPr2DyTm
Source: the Alexandria database
Functional: GGA-PBE
Structure: relaxed

Properties
DOS at the Fermi energy = 1.373 states/eV/atom
ρ = 7.15 Mg/m³
space-group type = No. 63
formation energy = 2.06 eV per formula unit

a = 7.165 Å, b = 7.165 Å, c = 7.320 Å
α = 90.00°, β = 90.00°, γ = 107.40°
Positions (direct):
Tb: 0.223 0.777 0.750
Tb: 0.777 0.223 0.250
Pr: 0.195 0.195 0.000
Pr: 0.195 0.195 0.500
Pr: 0.805 0.805 0.000
Pr: 0.805 0.805 0.500
Dy: 0.234 0.766 0.250
Dy: 0.766 0.234 0.750
Tm: 0.492 0.508 0.750
Tm: 0.508 0.492 0.250